The following is a DFT calculation (PBE-GGA) of crystalline BaCaAg6 at its relaxed geometry.

calculated total energy: -2.675 eV/atom
ΔH_f (0 K): -0.37 eV/f.u.
crystal system: cubic
SG: Pm-3, No. 200
magnetization: 0.000 μB/f.u.

a b c (Å): 5.7503 5.7503 5.7503
angles (deg): 90.00 90.00 90.00
Closest atoms and distances in Å follow each position.
Fractional positions:
Ba 0.5000 0.5000 0.5000  12 Ag 3.23
Ca 0.0000 0.0000 0.0000  12 Ag 3.20
Ag 0.5000 0.7576 0.0000  2 Ag 2.79-2.96
Ag 0.7576 0.0000 0.5000  2 Ag 2.79-2.96
Ag 0.0000 0.5000 0.2424  2 Ag 2.79-2.96
Ag 0.2424 0.0000 0.5000  2 Ag 2.79-2.96
Ag 0.5000 0.2424 0.0000  2 Ag 2.79-2.96
Ag 0.0000 0.5000 0.7576  2 Ag 2.79-2.96